Computed, not measured: crystalline YGaSn2W at its relaxed geometry at the PBE level of DFT.

It has space group P4/mmm (No. 123), with a = 5.097 Å, b = 5.097 Å, c = 5.344 Å, α = 90.00°, β = 90.00° and γ = 90.00°. The distinct sites, in fractional coordinates, are Y at (0.000, 0.000, 0.000), Ga at (0.000, 0.000, 0.500), Sn at (0.000, 0.500, 0.500) and W at (0.500, 0.500, 0.000).

The calculation puts the formation enthalpy at 0 K at 1160 meV/atom. The density comes out at 6935 kg/m³. The value obtained for the volume is 27.77 Å³ per atom.

---

Computed, not measured: crystalline Y2GaSn3 at its relaxed geometry at the PBE level of DFT.

It has space group Cmcm (No. 63), with a = 12.969 Å, b = 9.110 Å, c = 5.790 Å, α = 90.00°, β = 90.00° and γ = 90.00°. The distinct sites, in fractional coordinates, are Y at (0.145, 0.192, 0.250), Ga at (0.000, 0.380, 0.750), Sn at (0.000, 0.083, 0.750) and Sn at (0.179, 0.500, 0.000).

The calculation puts the formation enthalpy at 0 K at -261 meV/atom. The density comes out at 5861 kg/m³. The value obtained for the volume is 28.50 Å³ per atom.

---

Computed, not measured: crystalline YGaSn2 at its relaxed geometry at the PBE level of DFT.

It has space group I4/mmm (No. 139), with a = 4.431 Å, b = 4.431 Å, c = 9.799 Å, α = 90.00°, β = 90.00° and γ = 90.00°. The distinct sites, in fractional coordinates, are Y at (0.000, 0.000, 0.000), Ga at (0.000, 0.000, 0.500) and Sn at (0.000, 0.500, 0.250).

The calculation puts the formation enthalpy at 0 K at -470 meV/atom. The density comes out at 6838 kg/m³. The value obtained for the volume is 24.05 Å³ per atom.

---

Computed, not measured: crystalline Y2GaSn2 at its relaxed geometry at the PBE level of DFT.

It has space group P4/mbm (No. 127), with a = 7.804 Å, b = 7.804 Å, c = 4.516 Å, α = 90.00°, β = 90.00° and γ = 90.00°. The distinct sites, in fractional coordinates, are Y at (0.169, 0.331, 0.000), Ga at (0.000, 0.000, 0.000) and Sn at (0.136, 0.636, 0.500).

The calculation puts the formation enthalpy at 0 K at -476 meV/atom. The relative energy among the computed polymorphs is 0.42 eV/f.u. The density comes out at 5856 kg/m³. The value obtained for the volume is 27.50 Å³ per atom.